(1)
A relaxed structure of V2BiOsPt, computed with PBE.

magnetic moment	4.2	μB per formula unit
ρ	9.42	g/cm3
ΔE_f	2219	meV/atom

a = 4.982 Å, b = 4.946 Å, c = 4.982 Å
α = 90.00°, β = 90.00°, γ = 90.00°
Positions (direct):
Bi  0.000  0.000  0.000
V  0.500  0.000  0.000
V  0.000  0.000  0.500
Os  0.000  0.500  0.000
Pt  0.500  0.500  0.500

***

(2)
A relaxed structure of ZnBi2OsPt, computed with PBE.

magnetic moment	0.0	μB per formula unit
ρ	10.15	g/cm3
ΔE_f	1235	meV/atom

a = 5.414 Å, b = 4.850 Å, c = 5.414 Å
α = 90.00°, β = 90.00°, γ = 90.00°
Positions (direct):
Pt  0.000  0.000  0.000
Zn  0.500  0.500  0.500
Bi  0.500  0.000  0.000
Bi  0.000  0.000  0.500
Os  0.000  0.500  0.000